Record 1
Density functional theory data (PBE-GGA) for Pr8NdSm3 after structural relaxation.

abc: 9.1633 9.1633 6.5488
angles: 110.87 110.87 58.45
Closest atoms and distances in Å follow each position.
Element x y z (fractional)
Pr 0.0012 0.4988 0.6517  5 Pr 3.38-3.60, 2 Sm 3.43-3.74, 1 Nd 3.75
Pr 0.0694 0.0694 0.3168  2 Sm 3.37-3.73, 1 Nd 3.38, 5 Pr 3.53-3.60
Pr 0.1742 0.1704 0.9196  7 Pr 3.38-3.66, 2 Sm 3.55-3.64
Pr 0.2389 0.5081 0.3621  5 Pr 3.41-3.79, 1 Sm 3.46, 1 Nd 3.72
Pr 0.4919 0.7611 0.6379  5 Pr 3.41-3.79, 1 Sm 3.46, 1 Nd 3.72
Pr 0.5012 0.9988 0.3483  5 Pr 3.38-3.60, 2 Sm 3.43-3.74, 1 Nd 3.75
Pr 0.8296 0.8258 0.0804  7 Pr 3.38-3.66, 2 Sm 3.55-3.64
Pr 0.9306 0.9306 0.6832  2 Sm 3.37-3.73, 1 Nd 3.38, 5 Pr 3.53-3.60
Nd 0.3121 0.6879 0.0000  6 Pr 3.38-3.75, 2 Sm 3.47
Sm 0.5168 0.2333 0.8908  4 Pr 3.43-3.73, 1 Nd 3.47, 2 Sm 3.65-3.69
Sm 0.6925 0.3075 0.5000  6 Pr 3.37-3.74, 2 Sm 3.69
Sm 0.7667 0.4832 0.1092  4 Pr 3.43-3.73, 1 Nd 3.47, 2 Sm 3.65-3.69

Values from the calculation:
* DFT formation energy: 124 kJ/mol of formula units
* calculated volume: 35.6 Å³ per atom

***

Record 2
Density functional theory data (PBE-GGA) for RbLiCe4S8 after structural relaxation.

abc: 8.2881 8.2881 8.2881
angles: 61.91 61.91 61.91
Closest atoms and distances in Å follow each position.
Element x y z (fractional)
Rb 0.0000 0.0000 0.0000  4 S 3.00-3.05
Li 0.6362 0.6362 0.6362  3 S 2.48
Ce 0.1042 0.6178 0.6178  6 S 2.67-2.94
Ce 0.2309 0.2309 0.2309  4 S 2.71-2.81
Ce 0.6178 0.1042 0.6178  6 S 2.67-2.94
Ce 0.6178 0.6178 0.1042  6 S 2.67-2.94
S 0.3620 0.3620 0.8396  3 Ce 2.71-2.86
S 0.3620 0.8396 0.3620  3 Ce 2.71-2.86
S 0.3716 0.3716 0.3716  4 Ce 2.81-2.94
S 0.4318 0.8446 0.8446  1 Li 2.48, 2 Ce 2.67
S 0.8396 0.3620 0.3620  3 Ce 2.71-2.86
S 0.8446 0.4318 0.8446  1 Li 2.48, 2 Ce 2.67
S 0.8446 0.8446 0.4318  1 Li 2.48, 2 Ce 2.67
S 0.8476 0.8476 0.8476  3 Ce 2.75, 1 Rb 3.05

Values from the calculation:
* ΔE_f (raw): -1.65 eV/atom
* calculated volume: 30.0 Å³ per atom